Compound: Mg3MnBr
Source: Alexandria
Functional: PBE
Structure: relaxed

Results
For the total magnetization, the calculation gives 4.2 Bohr magnetons per cell. For the excess energy over the best structure of this formula in the dataset, the calculation gives 0.000 eV per atom. For the formation energy without anion corrections, the calculation gives 187 kJ/mol of formula units.

Cell: 5.3389 5.3389 5.3389 Å, 90.00 90.00 90.00°
Atoms (fractional coordinates):
Mg1 0.0000 0.0000 0.5000
Mg2 0.0000 0.5000 0.0000
Mg3 0.5000 0.0000 0.0000
Mn1 0.0000 0.0000 0.0000
Br1 0.5000 0.5000 0.5000